[1]
Ti6Co2Cu: optimized geometry, PBE.

Cell: 7.1399 7.1399 7.1399 Å, 101.55 112.91 114.23°
Atoms (fractional coordinates):
Ti 0.5123 0.7021 0.8102
Ti 0.4877 0.2979 0.1898
Ti 0.1080 0.2979 0.8102
Ti 0.8920 0.7021 0.1898
Ti 0.8012 0.7674 0.5686
Ti 0.1988 0.2326 0.4314
Ti 0.1988 0.7674 0.9662
Ti 0.8012 0.2326 0.0338
Ti 0.7057 0.3794 0.6737
Ti 0.2943 0.6206 0.3263
Ti 0.2943 0.9680 0.6737
Ti 0.7057 0.0320 0.3263
Co 0.5000 0.3642 0.8642
Co 0.5000 0.6358 0.1358
Co 0.6627 0.0000 0.6627
Co 0.3373 0.0000 0.3373
Cu 0.0000 0.5000 0.5000
Cu 0.0000 0.0000 0.0000

The calculation puts the mass density at 5634 kg/m³. As for the space group: Immm (71). The formation energy is -0.151 eV per atom.

---

[2]
Ti4Co2Cu: optimized geometry, PBE.

Cell: 3.8551 3.8551 8.8896 Å, 77.48 77.48 60.00°
Atoms (fractional coordinates):
Ti 0.3884 0.3884 0.8349
Ti 0.2024 0.2024 0.3927
Ti 0.7976 0.7976 0.6073
Ti 0.6116 0.6116 0.1651
Co 0.0955 0.0955 0.7134
Co 0.9045 0.9045 0.2866
Cu 0.0000 0.0000 0.0000

The calculation puts the mass density at 5590 kg/m³. As for the space group: R-3m (166). The formation energy is -0.009 eV per atom.

---

Per-record M_tot, μB/f.u.: 0.00; 0.00